No. 1
Below is a relaxed YAsOsO crystal, with properties calculated at the GGA-PBE level.

a = 4.072 Å, b = 4.072 Å, c = 7.964 Å
α = 90.00°, β = 90.00°, γ = 90.00°
Element x y z (fractional)
Y 0.250 0.250 0.131
Y 0.750 0.750 0.869
As 0.250 0.250 0.672
As 0.750 0.750 0.328
Os 0.250 0.750 0.500
Os 0.750 0.250 0.500
O 0.250 0.750 0.000
O 0.750 0.250 0.000

Properties
As for the space group: P4/nmm (129). For the energy above the most stable polymorph in this dataset, the calculation gives 0 meV per atom.

---

No. 2
Below is a relaxed Zr3Si2Au2 crystal, with properties calculated at the GGA-PBE level.

a = 8.083 Å, b = 8.083 Å, c = 8.083 Å
α = 33.58°, β = 33.58°, γ = 33.58°
Element x y z (fractional)
Zr 0.000 0.000 0.000
Zr 0.247 0.247 0.247
Zr 0.496 0.496 0.496
Si 0.122 0.122 0.122
Si 0.621 0.621 0.621
Au 0.378 0.378 0.378
Au 0.850 0.850 0.850

Properties
As for the total energy: -6.479 eV per atom. As for the space group: R3m (160).

---

No. 3
Below is a relaxed Au3SCl crystal, with properties calculated at the GGA-PBE level.

a = 6.624 Å, b = 6.624 Å, c = 9.851 Å
α = 90.00°, β = 90.00°, γ = 94.12°
Element x y z (fractional)
Au 0.096 0.427 0.250
Au 0.168 0.168 0.000
Au 0.168 0.168 0.500
Au 0.244 0.756 0.606
Au 0.244 0.756 0.894
Au 0.427 0.096 0.750
Au 0.573 0.904 0.250
Au 0.756 0.244 0.106
Au 0.756 0.244 0.394
Au 0.832 0.832 0.000
Au 0.832 0.832 0.500
Au 0.904 0.573 0.750
S 0.000 0.500 0.000
S 0.000 0.500 0.500
S 0.500 0.000 0.000
S 0.500 0.000 0.500
Cl 0.095 0.905 0.250
Cl 0.473 0.527 0.250
Cl 0.527 0.473 0.750
Cl 0.905 0.095 0.750

Properties
As for the total energy: -2.989 eV per atom. As for the space group: Cmcm (63).

---

No. 4
Below is a relaxed LiSiNiMo crystal, with properties calculated at the GGA-PBE level.

a = 4.105 Å, b = 4.105 Å, c = 4.105 Å
α = 60.00°, β = 60.00°, γ = 60.00°
Element x y z (fractional)
Li 0.000 0.000 0.000
Si 0.500 0.500 0.500
Ni 0.750 0.750 0.750
Mo 0.250 0.250 0.250

Properties
As for the space group: F-43m (216). For the energy above the most stable polymorph in this dataset, the calculation gives 0 meV per atom.

---

What did the first record say?
Below is a relaxed YAsOsO crystal, with properties calculated at the GGA-PBE level.

a = 4.072 Å, b = 4.072 Å, c = 7.964 Å
α = 90.00°, β = 90.00°, γ = 90.00°
Element x y z (fractional)
Y 0.250 0.250 0.131
Y 0.750 0.750 0.869
As 0.250 0.250 0.672
As 0.750 0.750 0.328
Os 0.250 0.750 0.500
Os 0.750 0.250 0.500
O 0.250 0.750 0.000
O 0.750 0.250 0.000

Properties
As for the space group: P4/nmm (129). For the energy above the most stable polymorph in this dataset, the calculation gives 0 meV per atom.

---

What did the first record say?
Below is a relaxed YAsOsO crystal, with properties calculated at the GGA-PBE level.

a = 4.072 Å, b = 4.072 Å, c = 7.964 Å
α = 90.00°, β = 90.00°, γ = 90.00°
Element x y z (fractional)
Y 0.250 0.250 0.131
Y 0.750 0.750 0.869
As 0.250 0.250 0.672
As 0.750 0.750 0.328
Os 0.250 0.750 0.500
Os 0.750 0.250 0.500
O 0.250 0.750 0.000
O 0.750 0.250 0.000

Properties
As for the space group: P4/nmm (129). For the energy above the most stable polymorph in this dataset, the calculation gives 0 meV per atom.